YMgCd2 | GGA-PBE | optimized geometry

Calculated values
SG: I-42d
DOS at the Fermi energy: 4.3 states/eV/f.u.
final energy: -2.45 eV per atom
energy of formation: 0.1 eV per formula unit

a b c (Å): 8.122 8.122 6.583
angles (deg): 51.91 51.91 90.00
Fractional positions:
Y (0.000, 0.000, 0.000)
Y (0.750, 0.250, 0.500)
Mg (0.500, 0.500, 0.000)
Mg (0.250, 0.750, 0.500)
Cd (0.597, 0.125, 0.250)
Cd (0.153, 0.625, 0.250)
Cd (0.375, 0.403, 0.750)
Cd (0.875, 0.847, 0.750)

***

Tb8Hg2Sb | GGA-PBE | optimized geometry

Calculated values
energy relative to the elements, uncorrected: -235.0 meV/atom
SG: C2/m
DOS at the Fermi energy: 14.0 states/eV/f.u.
final energy: -4.03 eV per atom

a b c (Å): 5.567 8.390 8.390
angles (deg): 117.75 99.90 99.90
Fractional positions:
Tb (0.888, 0.912, 0.685)
Tb (0.888, 0.685, 0.912)
Tb (0.299, 0.602, 0.602)
Tb (0.500, 0.772, 0.228)
Tb (0.500, 0.228, 0.772)
Tb (0.701, 0.398, 0.398)
Tb (0.112, 0.315, 0.088)
Tb (0.112, 0.088, 0.315)
Hg (0.000, 0.307, 0.693)
Hg (0.000, 0.693, 0.307)
Sb (0.500, 0.000, 0.000)

***

BeCrRu2Se | GGA-PBE | optimized geometry

Calculated values
energy relative to the elements, uncorrected: 1299.1 meV/atom
SG: P4/mmm
DOS at the Fermi energy: 7.3 states/eV/f.u.
final energy: -5.78 eV per atom

a b c (Å): 4.460 4.436 4.460
angles (deg): 90.00 90.00 90.00
Fractional positions:
Ru (0.000, 0.000, 0.500)
Ru (0.500, 0.000, 0.000)
Be (0.500, 0.500, 0.500)
Se (0.000, 0.500, 0.000)
Cr (0.000, 0.000, 0.000)

***

Pm3Sn2Pd | GGA-PBE | optimized geometry

Calculated values
SG: P4/mmm
DOS at the Fermi energy: 4.8 states/eV/f.u.
final energy: -5.28 eV per atom
energy of formation: -4.3 eV per formula unit
energy relative to the lowest polymorph listed for this composition: 92.7 meV per atom

a b c (Å): 3.576 3.576 12.473
angles (deg): 90.00 90.00 90.00
Fractional positions:
Pm (0.000, 0.000, 0.000)
Pm (0.000, 0.000, 0.645)
Pm (0.000, 0.000, 0.355)
Sn (0.500, 0.500, 0.822)
Sn (0.500, 0.500, 0.178)
Pd (0.500, 0.500, 0.500)

***

SiH7N2F5 | GGA-PBE | optimized geometry

Calculated values
SG: Pc
DOS at the Fermi energy: 0.0 states/eV/f.u.
final energy: -5.27 eV per atom

a b c (Å): 7.047 6.346 8.906
angles (deg): 45.43 90.00 90.00
Last column: magnetic moment on the atom in μB.
Fractional positions:
Si (0.726, 0.496, 0.253)  0.00
Si (0.274, 0.496, 0.753)  0.00
H (0.086, 0.033, 0.145)  0.00
H (0.083, 0.961, 0.366)  0.00
H (0.086, 0.812, 0.829)  0.00
H (0.089, 0.177, 0.683)  0.00
H (0.917, 0.961, 0.866)  0.00
H (0.914, 0.033, 0.645)  0.00
H (0.911, 0.177, 0.183)  0.00
H (0.914, 0.812, 0.329)  0.00
H (0.411, 0.252, 0.372)  0.00
H (0.398, 0.565, 0.121)  0.00
H (0.393, 0.567, 0.307)  0.00
H (0.589, 0.252, 0.872)  0.00
H (0.607, 0.567, 0.807)  0.00
H (0.602, 0.565, 0.621)  0.00
N (0.999, 0.996, 0.256)  0.00
N (0.001, 0.996, 0.756)  0.00
N (0.454, 0.470, 0.263)  0.00
N (0.546, 0.470, 0.763)  0.00
F (0.966, 0.517, 0.244)  0.05
F (0.034, 0.517, 0.744)  0.05
F (0.709, 0.872, 0.035)  0.03
F (0.735, 0.120, 0.471)  0.03
F (0.725, 0.439, 0.090)  0.03
F (0.718, 0.556, 0.415)  0.03
F (0.265, 0.120, 0.971)  0.03
F (0.291, 0.872, 0.535)  0.03
F (0.282, 0.556, 0.915)  0.03
F (0.275, 0.439, 0.590)  0.03

***

NiH2Pt2 | GGA-PBE | optimized geometry

Calculated values
SG: P4/mbm
DOS at the Fermi energy: 4.0 states/eV/f.u.
final energy: -4.62 eV per atom
energy relative to the lowest polymorph listed for this composition: 323.6 meV per atom

a b c (Å): 6.453 6.453 2.766
angles (deg): 90.00 90.00 90.00
Last column: magnetic moment on the atom in μB.
Fractional positions:
Ni (0.000, 0.000, 0.000)  0.75
Ni (0.500, 0.500, 0.000)  0.75
Pt (0.353, 0.853, 0.000)  0.12
Pt (0.853, 0.647, 0.000)  0.09
Pt (0.647, 0.147, 0.000)  0.12
Pt (0.147, 0.353, 0.000)  0.09
H (0.239, 0.739, 0.500)  0.00
H (0.739, 0.761, 0.500)  0.00
H (0.761, 0.261, 0.500)  0.00
H (0.261, 0.239, 0.500)  0.00

***

LaTcW | GGA-PBE | optimized geometry

Calculated values
SG: P4/nmm
DOS at the Fermi energy: 3.5 states/eV/f.u.
final energy: -9.27 eV per atom
energy of formation: 0.4 eV per formula unit
energy relative to the lowest polymorph listed for this composition: 0.0 meV per atom

a b c (Å): 4.426 4.426 7.234
angles (deg): 90.00 90.00 90.00
Fractional positions:
Tc (0.500, 0.000, 0.677)
Tc (0.000, 0.500, 0.323)
La (0.500, 0.000, 0.162)
La (0.000, 0.500, 0.838)
W (0.500, 0.500, 0.500)
W (0.000, 0.000, 0.500)

***

Nd2BPd2Pt4 | GGA-PBE | optimized geometry

Calculated values
SG: I4/mmm
DOS at the Fermi energy: 4.6 states/eV/f.u.
final energy: -6.51 eV per atom
energy of formation: -7.8 eV per formula unit

a b c (Å): 6.108 6.108 6.108
angles (deg): 87.17 121.65 121.65
Fractional positions:
Nd (0.500, 0.750, 0.250)
Nd (0.500, 0.250, 0.750)
B (0.000, 0.000, 0.000)
Pd (0.000, 0.740, 0.740)
Pd (0.000, 0.260, 0.260)
Pt (0.000, 0.745, 0.255)
Pt (0.490, 0.745, 0.745)
Pt (0.000, 0.255, 0.745)
Pt (0.510, 0.255, 0.255)

***

Al2InSe | GGA-PBE | optimized geometry

Calculated values
energy relative to the elements, uncorrected: 112.0 meV/atom
SG: I4/mmm
DOS at the Fermi energy: 0.9 states/eV/f.u.
final energy: -3.32 eV per atom
energy relative to the lowest polymorph listed for this composition: 212.9 meV per atom

a b c (Å): 5.809 5.809 5.809
angles (deg): 137.67 137.67 61.41
Fractional positions:
Al (0.000, 0.000, 0.000)
Al (0.500, 0.500, 0.000)
Se (0.750, 0.250, 0.500)
In (0.250, 0.750, 0.500)

***

CeMgNiAg | GGA-PBE | optimized geometry

Calculated values
SG: F-43m
DOS at the Fermi energy: 6.0 states/eV/f.u.
final energy: -4.18 eV per atom
energy of formation: -0.5 eV per formula unit

a b c (Å): 4.854 4.854 4.854
angles (deg): 60.00 60.00 60.00
Last column: magnetic moment on the atom in μB.
Fractional positions:
Ni (0.750, 0.750, 0.750)  0.08
Mg (0.500, 0.500, 0.500)  0.00
Ag (0.250, 0.250, 0.250)  0.00
Ce (0.000, 0.000, 0.000)  -0.42

***

PuCd2Au | GGA-PBE | optimized geometry

Calculated values
SG: R-3m
DOS at the Fermi energy: 7.5 states/eV/f.u.
final energy: -4.72 eV per atom
energy of formation: 0.6 eV per formula unit

a b c (Å): 3.080 3.080 11.318
angles (deg): 82.18 82.18 60.00
Last column: magnetic moment on the atom in μB.
Fractional positions:
Cd (0.095, 0.095, 0.716)  0.01
Cd (0.905, 0.905, 0.284)  0.01
Au (0.500, 0.500, 0.500)  0.00
Pu (0.000, 0.000, 0.000)  5.49

***

Sm3Tl3Cd | GGA-PBE | optimized geometry

Calculated values
SG: C2/m
DOS at the Fermi energy: 5.8 states/eV/f.u.
final energy: -3.48 eV per atom
energy of formation: -2.2 eV per formula unit
energy relative to the lowest polymorph listed for this composition: 0.0 meV per atom

a b c (Å): 4.775 6.328 14.741
angles (deg): 83.05 80.68 67.83
Fractional positions:
Sm (0.531, 0.319, 0.619)
Sm (0.469, 0.681, 0.381)
Sm (0.269, 0.241, 0.220)
Sm (0.731, 0.759, 0.780)
Sm (0.400, 0.278, 0.922)
Sm (0.600, 0.722, 0.078)
Tl (0.865, 0.723, 0.546)
Tl (0.135, 0.277, 0.454)
Tl (0.125, 0.824, 0.927)
Tl (0.875, 0.176, 0.073)
Tl (0.992, 0.788, 0.229)
Tl (0.008, 0.212, 0.771)
Cd (0.764, 0.090, 0.382)
Cd (0.236, 0.910, 0.618)

***

YZr4Re | GGA-PBE | optimized geometry

Calculated values
SG: F-43m
DOS at the Fermi energy: 9.7 states/eV/f.u.
final energy: -8.34 eV per atom
energy of formation: 3.1 eV per formula unit

a b c (Å): 5.742 5.742 5.742
angles (deg): 60.00 60.00 60.00
Fractional positions:
Y (0.000, 0.000, 0.000)
Zr (0.376, 0.872, 0.376)
Zr (0.872, 0.376, 0.376)
Zr (0.376, 0.376, 0.872)
Zr (0.376, 0.376, 0.376)
Re (0.750, 0.750, 0.750)

***

| no. | spin magnetization (μB per cell) |
| --- | --- |
| 1 | 0.00 |
| 2 | 0.00 |
| 3 | 0.00 |
| 4 | 0.00 |
| 5 | 0.37 |
| 6 | 1.90 |
| 7 | 0.00 |
| 8 | 0.00 |
| 9 | 0.00 |
| 10 | 0.42 |
| 11 | 5.79 |
| 12 | 0.00 |
| 13 | 0.00 |